Record 1
The following is a DFT calculation (GGA-PBE) of a relaxed structure of CrHPd2Se.

```
data_CrHPd2Se
_cell_length_a 3.916
_cell_length_b 3.916
_cell_length_c 4.414
_cell_angle_alpha 90.00
_cell_angle_beta 90.00
_cell_angle_gamma 90.00
_space_group_name_H-M_alt 'P 4/m m m'
_space_group_IT_number 123
_space_group_name_Hall '-P 4 2'
loop_
_atom_site_label
_atom_site_fract_x
_atom_site_fract_y
_atom_site_fract_z
_atom_site_occupancy
Cr1 0.000 0.000 0.000 1
H1 0.000 0.000 0.500 1
Pd1 0.000 0.500 0.500 1
Se1 0.500 0.500 0.000 1
```

Final energy: -0.1980 Ha/atom
Calculated volume: 67.7 Å³/cell
DOS(E_F): 0.882 states/eV/atom

Record 2
The following is a DFT calculation (GGA-PBE) of a relaxed structure of Ta2CrHPd.

```
data_Ta2CrHPd
_cell_length_a 4.239
_cell_length_b 4.239
_cell_length_c 3.633
_cell_angle_alpha 90.00
_cell_angle_beta 90.00
_cell_angle_gamma 90.00
_space_group_name_H-M_alt 'P 4/m m m'
_space_group_IT_number 123
_space_group_name_Hall '-P 4 2'
loop_
_atom_site_label
_atom_site_fract_x
_atom_site_fract_y
_atom_site_fract_z
_atom_site_occupancy
Ta1 0.000 0.500 0.000 1
Cr1 0.000 0.000 0.500 1
H1 0.000 0.000 0.000 1
Pd1 0.500 0.500 0.500 1
```

Final energy: -0.3094 Ha/atom
Calculated volume: 65.3 Å³/cell
DOS(E_F): 0.764 states/eV/atom

Record 3
The following is a DFT calculation (GGA-PBE) of a relaxed structure of CrTeHPd2.

```
data_CrTeHPd2
_cell_length_a 4.064
_cell_length_b 4.064
_cell_length_c 4.346
_cell_angle_alpha 90.00
_cell_angle_beta 90.00
_cell_angle_gamma 90.00
_space_group_name_H-M_alt 'P 4/m m m'
_space_group_IT_number 123
_space_group_name_Hall '-P 4 2'
loop_
_atom_site_label
_atom_site_fract_x
_atom_site_fract_y
_atom_site_fract_z
_atom_site_occupancy
Cr1 0.000 0.000 0.000 1
Te1 0.500 0.500 0.000 1
H1 0.000 0.000 0.500 1
Pd1 0.000 0.500 0.500 1
```

Final energy: -0.1969 Ha/atom
Calculated volume: 71.8 Å³/cell
DOS(E_F): 0.716 states/eV/atom

Record 4
The following is a DFT calculation (GGA-PBE) of a relaxed structure of TlCrHPd2.

```
data_TlCrHPd2
_cell_length_a 4.142
_cell_length_b 4.142
_cell_length_c 4.121
_cell_angle_alpha 90.00
_cell_angle_beta 90.00
_cell_angle_gamma 90.00
_space_group_name_H-M_alt 'P 4/m m m'
_space_group_IT_number 123
_space_group_name_Hall '-P 4 2'
loop_
_atom_site_label
_atom_site_fract_x
_atom_site_fract_y
_atom_site_fract_z
_atom_site_occupancy
Tl1 0.000 0.000 0.000 1
Cr1 0.500 0.500 0.000 1
H1 0.500 0.500 0.500 1
Pd1 0.000 0.500 0.500 1
```

Final energy: -0.1899 Ha/atom
Calculated volume: 70.7 Å³/cell
DOS(E_F): 0.305 states/eV/atom

no.,spin magnetization (Bohr magnetons per cell)
1,3.80
2,0.00
3,3.70
4,4.20